(1)
The following is a GGA-PBEsol calculation of crystalline LaMgMn2Sn at its relaxed geometry, from the Alexandria database.

Results
Symmetry: P4/mmm (123)
Calculated formation energy, eV per atom: 0.6829

a = 5.000 Å, b = 5.000 Å, c = 5.081 Å
α = 90.00°, β = 90.00°, γ = 90.00°
Site moments in Bohr magnetons follow the coordinates.
Atoms (fractional coordinates):
La1 0.500 0.500 0.500  -0.32
Sn1 0.000 0.000 0.000  -0.10
Mg1 0.000 0.000 0.500  -0.03
Mn1 0.500 0.000 0.000  3.48
Mn2 0.000 0.500 0.000  3.48

=====

(2)
The following is a GGA-PBEsol calculation of crystalline La2MgMo at its relaxed geometry, from the Alexandria database.

Results
Symmetry: Cmm2 (35)
Calculated formation energy, eV per atom: 0.4247

a = 3.182 Å, b = 3.182 Å, c = 10.682 Å
α = 90.00°, β = 90.00°, γ = 114.03°
Atoms (fractional coordinates):
La1 0.000 0.000 0.057
La2 0.500 0.500 0.737
Mo1 0.500 0.500 0.249
Mg1 0.000 0.000 0.457

=====

(3)
The following is a GGA-PBEsol calculation of crystalline LaMgMo at its relaxed geometry, from the Alexandria database.

Results
Symmetry: Fmm2 (42)
Calculated formation energy, eV per atom: 0.4885

a = 3.057 Å, b = 3.057 Å, c = 7.742 Å
α = 97.23°, β = 97.23°, γ = 111.28°
Atoms (fractional coordinates):
Mo1 0.333 0.333 0.666
La1 0.980 0.980 0.960
Mg1 0.687 0.687 0.374

=====

(4)
The following is a GGA-PBEsol calculation of crystalline La2MgMo at its relaxed geometry, from the Alexandria database.

Results
Symmetry: P4mm (99)
Calculated formation energy, eV per atom: 0.4103

a = 3.733 Å, b = 3.733 Å, c = 7.201 Å
α = 90.00°, β = 90.00°, γ = 90.00°
Atoms (fractional coordinates):
La1 0.500 0.500 0.311
La2 0.000 0.000 0.954
Mg1 0.000 0.000 0.546
Mo1 0.500 0.500 0.690

=====

(5)
The following is a GGA-PBEsol calculation of crystalline LaMgMo at its relaxed geometry, from the Alexandria database.

Results
Symmetry: F-43m (216)
Calculated formation energy, eV per atom: 0.8933

a = 4.702 Å, b = 4.702 Å, c = 4.702 Å
α = 60.00°, β = 60.00°, γ = 60.00°
Site moments in Bohr magnetons follow the coordinates.
Atoms (fractional coordinates):
La1 0.000 0.000 0.000  0.03
Mo1 0.250 0.250 0.250  0.95
Mg1 0.500 0.500 0.500  0.00

=====

(6)
The following is a GGA-PBEsol calculation of crystalline La2MgMo at its relaxed geometry, from the Alexandria database.

Results
Symmetry: Pm (6)
Calculated formation energy, eV per atom: 0.4089

a = 3.436 Å, b = 4.910 Å, c = 6.030 Å
α = 90.00°, β = 103.26°, γ = 90.00°
Atoms (fractional coordinates):
Mg1 0.381 0.000 0.498
La1 0.799 0.500 0.308
La2 0.054 0.000 0.927
Mo1 0.265 0.500 0.767

=====

(7)
The following is a GGA-PBEsol calculation of crystalline LaMgSi2Mo at its relaxed geometry, from the Alexandria database.

Results
Uncorrected formation energy, eV/atom: -0.11
Symmetry: P4/mmm (123)

a = 4.688 Å, b = 4.688 Å, c = 4.920 Å
α = 90.00°, β = 90.00°, γ = 90.00°
Atoms (fractional coordinates):
Mo1 0.000 0.000 0.000
Mg1 0.000 0.000 0.500
Si1 0.500 0.000 0.000
Si2 0.000 0.500 0.000
La1 0.500 0.500 0.500

=====

(8)
The following is a GGA-PBEsol calculation of crystalline La3MgN at its relaxed geometry, from the Alexandria database.

Results
Uncorrected formation energy, eV/atom: -0.66
Symmetry: Pm-3m (221)

a = 5.099 Å, b = 5.099 Å, c = 5.099 Å
α = 90.00°, β = 90.00°, γ = 90.00°
Atoms (fractional coordinates):
La1 0.000 0.500 0.000
La2 0.000 0.000 0.500
La3 0.500 0.000 0.000
N1 0.000 0.000 0.000
Mg1 0.500 0.500 0.500